(1)
# BeGeN2, relaxed, DFT PBE
# Uncorrected formation energy   0.576 eV/atom
# Mass density   4.4 g/cm³
# Crystal system   trigonal
data_BeGeN2
_symmetry_space_group_name_H-M 'R -3 m'
_symmetry_Int_Tables_number 166
_symmetry_space_group_name_Hall '-R 3 2"'
_cell_length_a 2.9961
_cell_length_b 2.9961
_cell_length_c 15.9725
_cell_angle_alpha 90.00
_cell_angle_beta 90.00
_cell_angle_gamma 120.00
loop_
_atom_site_label
_atom_site_type_symbol
_atom_site_fract_x
_atom_site_fract_y
_atom_site_fract_z
Be1 Be 0.0000 0.0000 0.0000
Ge1 Ge 0.0000 0.0000 0.5000
N1 N 0.0000 0.0000 0.3895

(2)
# BaRe2Os, relaxed, DFT PBE
# ΔH_f (0 K)   18.566 kcal/mol of atoms
# Mass density   14.4 g/cm³
# Crystal system   tetragonal
data_BaRe2Os
_symmetry_space_group_name_H-M 'P 4 m m'
_symmetry_Int_Tables_number 99
_cell_length_a 3.147
_cell_length_b 3.147
_cell_length_c 8.162
_cell_angle_alpha 90.00
_cell_angle_beta 90.00
_cell_angle_gamma 90.00
loop_
_symmetry_equiv_pos_as_xyz
'x,y,z'
'-y,x,z'
'-x,-y,z'
'y,-x,z'
'-x,y,z'
'y,x,z'
'x,-y,z'
'-y,-x,z'
loop_
_atom_site_label
_atom_site_type_symbol
_atom_site_fract_x
_atom_site_fract_y
_atom_site_fract_z
Ba1 Ba 0.000 0.000 0.000
Re1 Re 0.000 0.000 0.502
Re2 Re 0.500 0.500 0.668
Os1 Os 0.500 0.500 0.316

(3)
# TcTe5Mo2, relaxed, DFT PBE
# Uncorrected formation energy   0.269 eV/atom
# Mass density   6.2 g/cm³
# Crystal system   monoclinic
data_TcTe5Mo2
_symmetry_space_group_name_H-M 'C 1 m 1'
_symmetry_Int_Tables_number 8
_cell_length_a 12.543
_cell_length_b 8.009
_cell_length_c 5.403
_cell_angle_alpha 90.00
_cell_angle_beta 114.28
_cell_angle_gamma 90.00
loop_
_symmetry_equiv_pos_as_xyz
'x,y,z'
'x,-y,z'
'x+1/2,y+1/2,z'
'x+1/2,-y+1/2,z'
loop_
_atom_site_label
_atom_site_type_symbol
_atom_site_fract_x
_atom_site_fract_y
_atom_site_fract_z
Tc1 Tc 0.000 0.000 0.000
Te1 Te 0.058 0.287 0.821
Te2 Te 0.193 0.000 0.466
Te3 Te 0.363 0.274 0.116
Mo1 Mo 0.395 0.000 0.863
Mo2 Mo 0.490 0.500 0.521

(4)
# SnPOs3, relaxed, DFT PBE
# ΔH_f (0 K)   20.111 kcal/mol of atoms
# Mass density   13.9 g/cm³
# Crystal system   cubic
data_SnPOs3
_symmetry_space_group_name_H-M 'P m -3 m'
_symmetry_Int_Tables_number 221
_symmetry_space_group_name_Hall '-P 4 2 3'
_cell_length_a 4.411
_cell_length_b 4.411
_cell_length_c 4.411
_cell_angle_alpha 90.00
_cell_angle_beta 90.00
_cell_angle_gamma 90.00
loop_
_atom_site_label
_atom_site_type_symbol
_atom_site_fract_x
_atom_site_fract_y
_atom_site_fract_z
Sn1 Sn 0.000 0.000 0.000
P1 P 0.500 0.500 0.500
Os1 Os 0.000 0.500 0.500

(5)
# RbZn2CdGa, relaxed, DFT PBE
# ΔH_f (0 K)   10.988 kcal/mol of atoms
# Mass density   3.8 g/cm³
# Crystal system   tetragonal
data_RbZn2CdGa
_symmetry_space_group_name_H-M 'P 4/m m m'
_symmetry_Int_Tables_number 123
_symmetry_space_group_name_Hall '-P 4 2'
_cell_length_a 5.167
_cell_length_b 5.167
_cell_length_c 6.485
_cell_angle_alpha 90.00
_cell_angle_beta 90.00
_cell_angle_gamma 90.00
loop_
_atom_site_label
_atom_site_type_symbol
_atom_site_fract_x
_atom_site_fract_y
_atom_site_fract_z
Rb1 Rb 0.000 0.000 0.000
Zn1 Zn 0.000 0.500 0.500
Cd1 Cd 0.000 0.000 0.500
Ga1 Ga 0.500 0.500 0.000

(6)
# Tl2CoPt, relaxed, DFT PBE
# ΔH_f (0 K)   12.423 kcal/mol of atoms
# Mass density   13.7 g/cm³
# Crystal system   tetragonal
data_Tl2CoPt
_symmetry_space_group_name_H-M 'I -4 2 d'
_symmetry_Int_Tables_number 122
_symmetry_space_group_name_Hall 'I -4 2bw'
_cell_length_a 7.388
_cell_length_b 7.388
_cell_length_c 5.907
_cell_angle_alpha 90.00
_cell_angle_beta 90.00
_cell_angle_gamma 90.00
loop_
_atom_site_label
_atom_site_type_symbol
_atom_site_fract_x
_atom_site_fract_y
_atom_site_fract_z
Tl1 Tl 0.235 0.250 0.125
Co1 Co 0.000 0.000 0.000
Pt1 Pt 0.000 0.000 0.500

(7)
# Ho8Ir2Pd, relaxed, DFT PBE
# ΔH_f (0 K)   -12.467 kcal/mol of atoms
# Mass density   10.8 g/cm³
# Crystal system   monoclinic
data_Ho8Ir2Pd
_symmetry_space_group_name_H-M 'C 1 2/m 1'
_symmetry_Int_Tables_number 12
_cell_length_a 17.358
_cell_length_b 4.861
_cell_length_c 6.872
_cell_angle_alpha 90.00
_cell_angle_beta 106.74
_cell_angle_gamma 90.00
loop_
_symmetry_equiv_pos_as_xyz
'x,y,z'
'-x,-y,-z'
'-x,y,-z'
'x,-y,z'
'x+1/2,y+1/2,z'
'-x+1/2,-y+1/2,-z'
'-x+1/2,y+1/2,-z'
'x+1/2,-y+1/2,z'
loop_
_atom_site_label
_atom_site_type_symbol
_atom_site_fract_x
_atom_site_fract_y
_atom_site_fract_z
Ho1 Ho 0.032 0.000 0.282
Ho2 Ho 0.096 0.500 0.965
Ho3 Ho 0.170 0.500 0.466
Ho4 Ho 0.204 0.000 0.815
Ir1 Ir 0.188 0.000 0.209
Pd1 Pd 0.000 0.500 0.500

(8)
# TmPa2CrC4, relaxed, DFT PBE
# ΔH_f (0 K)   -3.448 kcal/mol of atoms
# Mass density   10.0 g/cm³
# Crystal system   orthorhombic
data_TmPa2CrC4
_symmetry_space_group_name_H-M 'C m c m'
_symmetry_Int_Tables_number 63
_symmetry_space_group_name_Hall '-C 2c 2'
_cell_length_a 3.518
_cell_length_b 11.378
_cell_length_c 12.147
_cell_angle_alpha 90.00
_cell_angle_beta 90.00
_cell_angle_gamma 90.00
loop_
_atom_site_label
_atom_site_type_symbol
_atom_site_fract_x
_atom_site_fract_y
_atom_site_fract_z
Tm1 Tm 0.000 0.111 0.250
Pa1 Pa 0.000 0.366 0.047
Cr1 Cr 0.000 0.161 0.750
C1 C 0.000 0.000 0.000
C2 C 0.000 0.267 0.632
C3 C 0.000 0.419 0.250

(9)
# KAl3V, relaxed, DFT PBE
# ΔH_f (0 K)   45.571 kcal/mol of atoms
# Mass density   1.8 g/cm³
# Crystal system   cubic
data_KAl3V
_symmetry_space_group_name_H-M 'P m -3 m'
_symmetry_Int_Tables_number 221
_symmetry_space_group_name_Hall '-P 4 2 3'
_cell_length_a 5.416
_cell_length_b 5.416
_cell_length_c 5.416
_cell_angle_alpha 90.00
_cell_angle_beta 90.00
_cell_angle_gamma 90.00
loop_
_atom_site_label
_atom_site_type_symbol
_atom_site_fract_x
_atom_site_fract_y
_atom_site_fract_z
K1 K 0.000 0.000 0.000
Al1 Al 0.000 0.000 0.500
V1 V 0.500 0.500 0.500

(10)
# VTe3Br, relaxed, DFT PBE
# Uncorrected formation energy   1.136 eV/atom
# Mass density   4.9 g/cm³
# Crystal system   cubic
data_VTe3Br
_symmetry_space_group_name_H-M 'P m -3 m'
_symmetry_Int_Tables_number 221
_symmetry_space_group_name_Hall '-P 4 2 3'
_cell_length_a 5.568
_cell_length_b 5.568
_cell_length_c 5.568
_cell_angle_alpha 90.00
_cell_angle_beta 90.00
_cell_angle_gamma 90.00
loop_
_atom_site_label
_atom_site_type_symbol
_atom_site_fract_x
_atom_site_fract_y
_atom_site_fract_z
V1 V 0.000 0.000 0.000
Te1 Te 0.000 0.500 0.500
Br1 Br 0.500 0.500 0.500

(11)
# TbEr6Th4, relaxed, DFT PBE
# ΔH_f (0 K)   11.872 kcal/mol of atoms
# Mass density   8.8 g/cm³
# Crystal system   tetragonal
data_TbEr6Th4
_symmetry_space_group_name_H-M 'I -4 2 m'
_symmetry_Int_Tables_number 121
_symmetry_space_group_name_Hall 'I -4 2'
_cell_length_a 7.839
_cell_length_b 7.839
_cell_length_c 12.864
_cell_angle_alpha 90.00
_cell_angle_beta 90.00
_cell_angle_gamma 90.00
loop_
_atom_site_label
_atom_site_type_symbol
_atom_site_fract_x
_atom_site_fract_y
_atom_site_fract_z
Tb1 Tb 0.000 0.000 0.000
Er1 Er 0.000 0.500 0.000
Er2 Er 0.244 0.244 0.681
Th1 Th 0.168 0.168 0.426

(12)
# SrAlGa2Re, relaxed, DFT PBE
# ΔH_f (0 K)   -5.769 kcal/mol of atoms
# Mass density   6.3 g/cm³
# Crystal system   tetragonal
data_SrAlGa2Re
_symmetry_space_group_name_H-M 'P 4/m m m'
_symmetry_Int_Tables_number 123
_symmetry_space_group_name_Hall '-P 4 2'
_cell_length_a 4.903
_cell_length_b 4.903
_cell_length_c 4.849
_cell_angle_alpha 90.00
_cell_angle_beta 90.00
_cell_angle_gamma 90.00
loop_
_atom_site_label
_atom_site_type_symbol
_atom_site_fract_x
_atom_site_fract_y
_atom_site_fract_z
Sr1 Sr 0.000 0.000 0.000
Al1 Al 0.500 0.500 0.000
Ga1 Ga 0.000 0.500 0.500
Re1 Re 0.500 0.500 0.500

(13)
# BaMn2Os2, relaxed, DFT PBE
# ΔH_f (0 K)   15.231 kcal/mol of atoms
# Mass density   11.6 g/cm³
# Crystal system   tetragonal
data_BaMn2Os2
_symmetry_space_group_name_H-M 'P 4/m b m'
_symmetry_Int_Tables_number 127
_symmetry_space_group_name_Hall '-P 4 2ab'
_cell_length_a 7.878
_cell_length_b 7.878
_cell_length_c 2.894
_cell_angle_alpha 90.00
_cell_angle_beta 90.00
_cell_angle_gamma 90.00
loop_
_atom_site_label
_atom_site_type_symbol
_atom_site_fract_x
_atom_site_fract_y
_atom_site_fract_z
Ba1 Ba 0.000 0.000 0.000
Mn1 Mn 0.145 0.355 0.500
Os1 Os 0.132 0.632 0.000

(14)
# Cd2MoOs, relaxed, DFT PBE
# ΔH_f (0 K)   27.864 kcal/mol of atoms
# Mass density   11.0 g/cm³
# Crystal system   tetragonal
data_Cd2MoOs
_symmetry_space_group_name_H-M 'I -4 2 d'
_symmetry_Int_Tables_number 122
_symmetry_space_group_name_Hall 'I -4 2bw'
_cell_length_a 7.637
_cell_length_b 7.637
_cell_length_c 5.296
_cell_angle_alpha 90.00
_cell_angle_beta 90.00
_cell_angle_gamma 90.00
loop_
_atom_site_label
_atom_site_type_symbol
_atom_site_fract_x
_atom_site_fract_y
_atom_site_fract_z
Cd1 Cd 0.240 0.250 0.125
Mo1 Mo 0.000 0.000 0.500
Os1 Os 0.000 0.000 0.000

(15)
# AcSmY2Er, relaxed, DFT PBE
# ΔH_f (0 K)   9.233 kcal/mol of atoms
# Mass density   6.5 g/cm³
# Crystal system   orthorhombic
data_AcSmY2Er
_symmetry_space_group_name_H-M 'C m c m'
_symmetry_Int_Tables_number 63
_symmetry_space_group_name_Hall '-C 2c 2'
_cell_length_a 6.511
_cell_length_b 17.559
_cell_length_c 6.455
_cell_angle_alpha 90.00
_cell_angle_beta 90.00
_cell_angle_gamma 90.00
loop_
_atom_site_label
_atom_site_type_symbol
_atom_site_fract_x
_atom_site_fract_y
_atom_site_fract_z
Ac1 Ac 0.000 0.160 0.250
Sm1 Sm 0.000 0.346 0.250
Y1 Y 0.246 0.500 0.000
Er1 Er 0.000 0.260 0.750

(16)
# TbNd7Dy4, relaxed, DFT PBE
# ΔH_f (0 K)   0.172 kcal/mol of atoms
# Mass density   7.4 g/cm³
# Crystal system   triclinic
data_TbNd7Dy4
_symmetry_space_group_name_H-M 'P -1'
_symmetry_Int_Tables_number 2
_cell_length_a 6.342
_cell_length_b 7.304
_cell_length_c 9.019
_cell_angle_alpha 90.02
_cell_angle_beta 103.56
_cell_angle_gamma 90.03
loop_
_symmetry_equiv_pos_as_xyz
'x,y,z'
'-x,-y,-z'
loop_
_atom_site_label
_atom_site_type_symbol
_atom_site_fract_x
_atom_site_fract_y
_atom_site_fract_z
Tb1 Tb 0.000 0.000 0.000
Nd1 Nd 0.000 0.500 0.000
Nd2 Nd 0.221 0.000 0.666
Nd3 Nd 0.280 0.251 0.335
Nd4 Nd 0.500 0.252 0.999
Dy1 Dy 0.220 0.500 0.665
Dy2 Dy 0.278 0.748 0.332

(17)
# Ba5Ti2As6, relaxed, DFT PBE
# ΔH_f (0 K)   -22.970 kcal/mol of atoms
# Mass density   4.8 g/cm³
# Crystal system   orthorhombic
data_Ba5Ti2As6
_symmetry_space_group_name_H-M 'P b a m'
_symmetry_Int_Tables_number 55
_cell_length_a 12.793
_cell_length_b 15.190
_cell_length_c 4.420
_cell_angle_alpha 90.00
_cell_angle_beta 90.00
_cell_angle_gamma 90.00
loop_
_symmetry_equiv_pos_as_xyz
'x,y,z'
'-x,-y,-z'
'-x,-y,z'
'x,y,-z'
'x+1/2,-y+1/2,-z'
'-x+1/2,y+1/2,z'
'-x+1/2,y+1/2,-z'
'x+1/2,-y+1/2,z'
loop_
_atom_site_label
_atom_site_type_symbol
_atom_site_fract_x
_atom_site_fract_y
_atom_site_fract_z
Ba1 Ba 0.000 0.000 0.000
Ba2 Ba 0.077 0.248 0.000
Ba3 Ba 0.164 0.503 0.000
Ti1 Ti 0.175 0.710 0.500
As1 As 0.019 0.619 0.500
As2 As 0.172 0.102 0.500
As3 As 0.173 0.800 0.000

(18)
# HoCo2Re, relaxed, DFT PBE
# ΔH_f (0 K)   -0.859 kcal/mol of atoms
# Mass density   11.4 g/cm³
# Crystal system   trigonal
data_HoCo2Re
_symmetry_space_group_name_H-M 'R -3 m'
_symmetry_Int_Tables_number 166
_symmetry_space_group_name_Hall '-R 3 2"'
_cell_length_a 4.0762
_cell_length_b 4.0762
_cell_length_c 14.2887
_cell_angle_alpha 90.00
_cell_angle_beta 90.00
_cell_angle_gamma 120.00
loop_
_atom_site_label
_atom_site_type_symbol
_atom_site_fract_x
_atom_site_fract_y
_atom_site_fract_z
Ho1 Ho 0.0000 0.0000 0.0000
Co1 Co 0.0000 0.0000 0.1999
Re1 Re 0.0000 0.0000 0.5000

(19)
# NaLiAuF6, relaxed, DFT PBE
# Uncorrected formation energy   -1.808 eV/atom
# Mass density   4.6 g/cm³
# Crystal system   trigonal
data_NaLiAuF6
_symmetry_space_group_name_H-M 'P 3 1 2'
_symmetry_Int_Tables_number 149
_cell_length_a 5.3686
_cell_length_b 5.3686
_cell_length_c 4.9629
_cell_angle_alpha 90.00
_cell_angle_beta 90.00
_cell_angle_gamma 120.00
loop_
_symmetry_equiv_pos_as_xyz
'x,y,z'
'-y,x-y,z'
'-x+y,-x,z'
'-y,-x,-z'
'-x+y,y,-z'
'x,x-y,-z'
loop_
_atom_site_label
_atom_site_type_symbol
_atom_site_fract_x
_atom_site_fract_y
_atom_site_fract_z
Na1 Na 0.0000 0.0000 0.0000
Li1 Li 0.3333 0.6667 0.5000
Au1 Au 0.6667 0.3333 0.5000
F1 F 0.3564 0.0029 0.7223

(20)
# SrRe2Te, relaxed, DFT PBE
# Uncorrected formation energy   0.787 eV/atom
# Mass density   9.1 g/cm³
# Crystal system   tetragonal
data_SrRe2Te
_symmetry_space_group_name_H-M 'I -4 2 d'
_symmetry_Int_Tables_number 122
_symmetry_space_group_name_Hall 'I -4 2bw'
_cell_length_a 4.747
_cell_length_b 4.747
_cell_length_c 19.097
_cell_angle_alpha 90.00
_cell_angle_beta 90.00
_cell_angle_gamma 90.00
loop_
_atom_site_label
_atom_site_type_symbol
_atom_site_fract_x
_atom_site_fract_y
_atom_site_fract_z
Sr1 Sr 0.000 0.000 0.000
Re1 Re 0.067 0.250 0.625
Te1 Te 0.000 0.000 0.500